[1]
# HoZrHgIr, optimized geometry, DFT PBE
# Space-group type: F-43m, No. 216
# Formation enthalpy at 0 K in eV per formula unit: -1.8
data_HoZrHgIr
_chemical_formula_sum 'Ho1 Zr1 Hg1 Ir1'
_cell_length_a 4.9165
_cell_length_b 4.9165
_cell_length_c 4.9165
_cell_angle_alpha 60.00
_cell_angle_beta 60.00
_cell_angle_gamma 60.00
_space_group_name_H-M_alt 'P 1'
_space_group_IT_number 1
_space_group_name_Hall 'P 1'
loop_
_atom_site_label
_atom_site_type_symbol
_atom_site_fract_x
_atom_site_fract_y
_atom_site_fract_z
Ho1 Ho 0.0000 0.0000 0.0000
Zr1 Zr 0.5000 0.5000 0.5000
Hg1 Hg 0.2500 0.2500 0.2500
Ir1 Ir 0.7500 0.7500 0.7500

[2]
# Ce3Y2Pb4, optimized geometry, DFT PBE
# Space-group type: C2/m, No. 12
# Formation enthalpy at 0 K in eV per formula unit: -3.4
data_Ce3Y2Pb4
_chemical_formula_sum 'Ce3 Y2 Pb4'
_cell_length_a 8.6147
_cell_length_b 8.6147
_cell_length_c 6.8993
_cell_angle_alpha 104.23
_cell_angle_beta 104.23
_cell_angle_gamma 34.79
_space_group_name_H-M_alt 'P 1'
_space_group_IT_number 1
_space_group_name_Hall 'P 1'
loop_
_atom_site_label
_atom_site_type_symbol
_atom_site_fract_x
_atom_site_fract_y
_atom_site_fract_z
Ce1 Ce 0.0000 0.0000 0.0000
Ce2 Ce 0.1164 0.1164 0.5791
Ce3 Ce 0.8836 0.8836 0.4209
Y1 Y 0.3336 0.3336 0.9241
Y2 Y 0.6664 0.6664 0.0759
Pb1 Pb 0.2452 0.2452 0.2864
Pb2 Pb 0.4939 0.4939 0.7167
Pb3 Pb 0.5061 0.5061 0.2833
Pb4 Pb 0.7548 0.7548 0.7136

[3]
# Pm5Ni2Ag2, optimized geometry, DFT PBE
# Space-group type: Cmce, No. 64
# Formation enthalpy at 0 K in eV per formula unit: -2.0
data_Pm5Ni2Ag2
_chemical_formula_sum 'Pm10 Ni4 Ag4'
_cell_length_a 8.8526
_cell_length_b 8.8526
_cell_length_c 7.7670
_cell_angle_alpha 90.00
_cell_angle_beta 90.00
_cell_angle_gamma 48.90
_space_group_name_H-M_alt 'P 1'
_space_group_IT_number 1
_space_group_name_Hall 'P 1'
loop_
_atom_site_label
_atom_site_type_symbol
_atom_site_fract_x
_atom_site_fract_y
_atom_site_fract_z
Pm1 Pm 0.0000 0.0000 0.0000
Pm2 Pm 0.0454 0.7032 0.6797
Pm3 Pm 0.2032 0.5454 0.1797
Pm4 Pm 0.2968 0.9546 0.6797
Pm5 Pm 0.4546 0.7968 0.1797
Pm6 Pm 0.5000 0.5000 0.5000
Pm7 Pm 0.5454 0.2032 0.8203
Pm8 Pm 0.7032 0.0454 0.3203
Pm9 Pm 0.7968 0.4546 0.8203
Pm10 Pm 0.9546 0.2968 0.3203
Ni1 Ni 0.1186 0.8814 0.3814
Ni2 Ni 0.3814 0.6186 0.8814
Ni3 Ni 0.6186 0.3814 0.1186
Ni4 Ni 0.8814 0.1186 0.6186
Ag1 Ag 0.2155 0.2155 0.0000
Ag2 Ag 0.2845 0.2845 0.5000
Ag3 Ag 0.7155 0.7155 0.5000
Ag4 Ag 0.7845 0.7845 0.0000

[4]
# Ba3NdSm2Se6, optimized geometry, DFT PBE
# Space-group type: C2/m, No. 12
# Energy relative to the elements, uncorrected in eV per formula unit: -22.9
data_Ba3NdSm2Se6
_chemical_formula_sum 'Ba3 Nd1 Sm2 Se6'
_cell_length_a 7.5657
_cell_length_b 7.5657
_cell_length_c 7.8398
_cell_angle_alpha 99.28
_cell_angle_beta 99.28
_cell_angle_gamma 119.95
_space_group_name_H-M_alt 'P 1'
_space_group_IT_number 1
_space_group_name_Hall 'P 1'
loop_
_atom_site_label
_atom_site_type_symbol
_atom_site_fract_x
_atom_site_fract_y
_atom_site_fract_z
Ba1 Ba 0.0000 0.0000 0.0000
Ba2 Ba 0.3343 0.6657 0.0000
Ba3 Ba 0.6657 0.3343 0.0000
Nd1 Nd 0.5000 0.5000 0.5000
Sm1 Sm 0.1669 0.8331 0.5000
Sm2 Sm 0.8331 0.1669 0.5000
Se1 Se 0.0902 0.4266 0.2798
Se2 Se 0.2367 0.2367 0.7193
Se3 Se 0.4266 0.0902 0.2798
Se4 Se 0.5734 0.9098 0.7202
Se5 Se 0.7633 0.7633 0.2807
Se6 Se 0.9098 0.5734 0.7202

[5]
# SrZr2ReAu, optimized geometry, DFT PBE
# Space-group type: P4/mmm, No. 123
# Formation enthalpy at 0 K in eV per formula unit: 11.4
data_SrZr2ReAu
_chemical_formula_sum 'Sr1 Zr2 Re1 Au1'
_cell_length_a 5.0712
_cell_length_b 5.0712
_cell_length_c 4.6861
_cell_angle_alpha 90.00
_cell_angle_beta 90.00
_cell_angle_gamma 90.00
_space_group_name_H-M_alt 'P 1'
_space_group_IT_number 1
_space_group_name_Hall 'P 1'
loop_
_atom_site_label
_atom_site_type_symbol
_atom_site_fract_x
_atom_site_fract_y
_atom_site_fract_z
Sr1 Sr 0.0000 0.0000 0.0000
Zr1 Zr 0.0000 0.5000 0.0000
Zr2 Zr 0.5000 0.0000 0.0000
Re1 Re 0.0000 0.0000 0.5000
Au1 Au 0.5000 0.5000 0.5000

[6]
# KGeSN2, optimized geometry, DFT PBE
# Space-group type: P4/mmm, No. 123
# Energy relative to the elements, uncorrected in eV per formula unit: 10.9
data_KGeSN2
_chemical_formula_sum 'K1 Ge1 S1 N2'
_cell_length_a 4.7297
_cell_length_b 4.7297
_cell_length_c 5.9235
_cell_angle_alpha 90.00
_cell_angle_beta 90.00
_cell_angle_gamma 90.00
_space_group_name_H-M_alt 'P 1'
_space_group_IT_number 1
_space_group_name_Hall 'P 1'
loop_
_atom_site_label
_atom_site_type_symbol
_atom_site_fract_x
_atom_site_fract_y
_atom_site_fract_z
K1 K 0.0000 0.0000 0.0000
Ge1 Ge 0.5000 0.5000 0.5000
S1 S 0.0000 0.0000 0.5000
N1 N 0.0000 0.5000 0.0000
N2 N 0.5000 0.0000 0.0000

[7]
# Cs4Ac3PrSe8, optimized geometry, DFT PBE
# Space-group type: R-3m, No. 166
# Energy relative to the elements, uncorrected in eV per formula unit: -28.5
data_Cs4Ac3PrSe8
_chemical_formula_sum 'Cs4 Ac3 Pr1 Se8'
_cell_length_a 9.9560
_cell_length_b 9.9560
_cell_length_c 9.9560
_cell_angle_alpha 54.93
_cell_angle_beta 54.93
_cell_angle_gamma 54.93
_space_group_name_H-M_alt 'P 1'
_space_group_IT_number 1
_space_group_name_Hall 'P 1'
loop_
_atom_site_label
_atom_site_type_symbol
_atom_site_fract_x
_atom_site_fract_y
_atom_site_fract_z
Cs1 Cs 0.0000 0.0000 0.0000
Cs2 Cs 0.0000 0.5000 0.5000
Cs3 Cs 0.5000 0.0000 0.5000
Cs4 Cs 0.5000 0.5000 0.0000
Ac1 Ac 0.0000 0.0000 0.5000
Ac2 Ac 0.0000 0.5000 0.0000
Ac3 Ac 0.5000 0.0000 0.0000
Pr1 Pr 0.5000 0.5000 0.5000
Se1 Se 0.2325 0.2325 0.2325
Se2 Se 0.2398 0.7270 0.7270
Se3 Se 0.2730 0.2730 0.7602
Se4 Se 0.2730 0.7602 0.2730
Se5 Se 0.7270 0.2398 0.7270
Se6 Se 0.7270 0.7270 0.2398
Se7 Se 0.7602 0.2730 0.2730
Se8 Se 0.7675 0.7675 0.7675

[8]
# Cd2AuC, optimized geometry, DFT PBE
# Space-group type: I-42d, No. 122
# Formation enthalpy at 0 K in eV per formula unit: 4.1
data_Cd2AuC
_chemical_formula_sum 'Cd4 Au2 C2'
_cell_length_a 7.0028
_cell_length_b 7.0028
_cell_length_c 7.0028
_cell_angle_alpha 131.94
_cell_angle_beta 131.94
_cell_angle_gamma 70.33
_space_group_name_H-M_alt 'P 1'
_space_group_IT_number 1
_space_group_name_Hall 'P 1'
loop_
_atom_site_label
_atom_site_type_symbol
_atom_site_fract_x
_atom_site_fract_y
_atom_site_fract_z
Cd1 Cd 0.0226 0.6250 0.8976
Cd2 Cd 0.3750 0.2726 0.3976
Cd3 Cd 0.7274 0.1250 0.1024
Cd4 Cd 0.8750 0.9774 0.6024
Au1 Au 0.2500 0.7500 0.5000
Au2 Au 0.5000 0.5000 0.0000
C1 C 0.0000 0.0000 0.0000
C2 C 0.7500 0.2500 0.5000